1:
Computed, not measured: a relaxed structure of TiNbS at the GGA-PBE level of DFT.

Results
- Space-group type: Immm, No. 71

Cell and atoms, written as POSCAR:
```
TiNbS
1.0
3.322 0.000 0.000
0.000 5.246 0.000
0.000 0.000 10.932
Ti Nb S
4 4 4
direct
0.000 0.000 0.206
0.000 0.000 0.794
0.500 0.500 0.294
0.500 0.500 0.706
0.000 0.257 0.500
0.000 0.743 0.500
0.500 0.243 0.000
0.500 0.757 0.000
0.000 0.500 0.138
0.000 0.500 0.862
0.500 0.000 0.362
0.500 0.000 0.638
```

---

2:
Computed, not measured: a relaxed structure of TiNbS at the GGA-PBE level of DFT.

Results
- Space-group type: Pnma, No. 62

Cell and atoms, written as POSCAR:
```
TiNbS
1.0
13.051 0.000 0.000
0.000 3.317 0.000
0.000 0.000 4.628
Ti Nb S
4 4 4
direct
0.081 0.250 0.109
0.419 0.750 0.609
0.581 0.250 0.391
0.919 0.750 0.891
0.236 0.250 0.528
0.264 0.750 0.028
0.736 0.250 0.972
0.764 0.750 0.472
0.097 0.750 0.706
0.403 0.250 0.206
0.597 0.750 0.794
0.903 0.250 0.294
```

---

3:
Computed, not measured: a relaxed structure of TiNbS at the GGA-PBE level of DFT.

Results
- Space-group type: P3m1, No. 156

Cell and atoms, written as POSCAR:
```
TiNbS
1.0
4.225 0.000 0.000
-2.112 3.659 0.000
0.000 0.000 3.336
Ti Nb S
1 1 1
direct
0.000 0.000 0.000
0.667 0.333 0.398
0.333 0.667 0.343
```

---

Which of them is the most stable, and which is the least stable? 1 and 3, in that order.

---

1:
Computed, not measured: a relaxed structure of TiNb2S4 at the GGA-PBE level of DFT.

Results
- Space-group type: Pbam, No. 55

Cell and atoms, written as POSCAR:
```
TiNb2S4
1.0
6.032 0.000 0.000
0.000 11.985 0.000
0.000 0.000 3.290
Ti Nb S
2 4 8
direct
0.000 0.000 0.000
0.500 0.500 0.000
0.130 0.339 0.500
0.370 0.839 0.500
0.630 0.161 0.500
0.870 0.661 0.500
0.063 0.797 0.000
0.217 0.539 0.500
0.283 0.039 0.500
0.437 0.297 0.000
0.563 0.703 0.000
0.717 0.961 0.500
0.783 0.461 0.500
0.937 0.203 0.000
```

---

2:
Computed, not measured: a relaxed structure of TiNb2S4 at the GGA-PBE level of DFT.

Results
- Space-group type: I4/mmm, No. 139

Cell and atoms, written as POSCAR:
```
TiNb2S4
1.0
4.692 0.000 0.000
0.000 4.692 0.000
0.000 0.000 12.295
Ti Nb S
2 4 8
direct
0.000 0.000 0.000
0.500 0.500 0.500
0.000 0.000 0.391
0.000 0.000 0.609
0.500 0.500 0.109
0.500 0.500 0.891
0.000 0.000 0.196
0.000 0.000 0.804
0.000 0.500 0.000
0.000 0.500 0.500
0.500 0.000 0.000
0.500 0.000 0.500
0.500 0.500 0.304
0.500 0.500 0.696
```

---

Which of them is the most stable, and which is the least stable? 1 and 2, in that order.

---

1:
Computed, not measured: a relaxed structure of TiNbS4 at the GGA-PBE level of DFT.

Results
- Space-group type: C2/m, No. 12

Cell and atoms, written as POSCAR:
```
TiNbS4
1.0
14.130 0.000 0.000
0.000 3.392 0.000
-2.437 0.000 5.357
Ti Nb S
2 2 8
direct
0.000 0.000 0.000
0.500 0.500 0.000
0.000 0.500 0.500
0.500 0.000 0.500
0.114 0.500 0.275
0.117 0.000 0.789
0.383 0.500 0.211
0.386 0.000 0.725
0.614 0.000 0.275
0.617 0.500 0.789
0.883 0.000 0.211
0.886 0.500 0.725
```

---

2:
Computed, not measured: a relaxed structure of TiNbS4 at the GGA-PBE level of DFT.

Results
- Space-group type: P2_1/c, No. 14

Cell and atoms, written as POSCAR:
```
TiNbS4
1.0
6.759 0.000 0.000
0.000 5.655 0.000
-3.383 0.000 6.204
Ti Nb S
2 2 8
direct
0.000 0.000 0.000
0.000 0.500 0.500
0.500 0.000 0.000
0.500 0.500 0.500
0.162 0.242 0.831
0.162 0.258 0.331
0.331 0.742 0.669
0.331 0.758 0.169
0.669 0.242 0.831
0.669 0.258 0.331
0.838 0.742 0.669
0.838 0.758 0.169
```

---

Which of them is the most stable, and which is the least stable? 1 and 2, in that order.

---

1:
Computed, not measured: a relaxed structure of TiNb2S6 at the GGA-PBE level of DFT.

Results
- Space-group type: P4_2/mnm, No. 136

Cell and atoms, written as POSCAR:
```
TiNb2S6
1.0
6.024 0.000 0.000
0.000 6.024 0.000
0.000 0.000 10.119
Ti Nb S
2 4 12
direct
0.000 0.000 0.000
0.500 0.500 0.500
0.000 0.000 0.340
0.000 0.000 0.660
0.500 0.500 0.160
0.500 0.500 0.840
0.201 0.201 0.165
0.201 0.201 0.835
0.209 0.209 0.500
0.291 0.709 0.000
0.299 0.701 0.335
0.299 0.701 0.665
0.701 0.299 0.335
0.701 0.299 0.665
0.709 0.291 0.000
0.791 0.791 0.500
0.799 0.799 0.165
0.799 0.799 0.835
```

---

2:
Computed, not measured: a relaxed structure of TiNb2S6 at the GGA-PBE level of DFT.

Results
- Space-group type: C2/m, No. 12

Cell and atoms, written as POSCAR:
```
TiNb2S6
1.0
7.037 -1.692 0.000
7.037 1.692 0.000
-3.471 0.000 8.067
Ti Nb S
1 2 6
direct
0.000 0.000 0.000
0.333 0.333 0.668
0.667 0.667 0.332
0.030 0.030 0.294
0.305 0.305 0.368
0.369 0.369 0.967
0.631 0.631 0.033
0.695 0.695 0.632
0.970 0.970 0.706
```

---

Which of them is the most stable, and which is the least stable? 2 and 1, in that order.

---

1:
Computed, not measured: a relaxed structure of TiNbS3 at the GGA-PBE level of DFT.

Results
- Space-group type: Pm-3m, No. 221

Cell and atoms, written as POSCAR:
```
TiNbS3
1.0
4.630 0.000 0.000
0.000 4.630 0.000
0.000 0.000 4.630
Ti Nb S
1 1 3
direct
0.000 0.000 0.000
0.500 0.500 0.500
0.000 0.000 0.500
0.000 0.500 0.000
0.500 0.000 0.000
```

---

2:
Computed, not measured: a relaxed structure of TiNbS3 at the GGA-PBE level of DFT.

Results
- Space-group type: C2/m, No. 12

Cell and atoms, written as POSCAR:
```
TiNbS3
1.0
9.892 -1.655 0.000
9.892 1.655 0.000
-0.202 0.000 6.367
Ti Nb S
2 2 6
direct
0.107 0.107 0.379
0.893 0.893 0.621
0.422 0.422 0.056
0.578 0.578 0.944
0.166 0.166 0.072
0.348 0.348 0.386
0.477 0.477 0.713
0.523 0.523 0.287
0.652 0.652 0.614
0.834 0.834 0.928
```

---

Which of them is the most stable, and which is the least stable? 2 and 1, in that order.

---

1:
Computed, not measured: a relaxed structure of Nb4TlS8 at the GGA-PBE level of DFT.

Results
- Space-group type: F-43m, No. 216

Cell and atoms, written as POSCAR:
```
Nb4TlS8
1.0
0.000 5.149 5.149
5.149 0.000 5.149
5.149 5.149 0.000
Nb Tl S
4 1 8
direct
0.105 0.105 0.105
0.105 0.105 0.686
0.105 0.686 0.105
0.686 0.105 0.105
0.500 0.500 0.500
0.357 0.357 0.357
0.357 0.357 0.928
0.357 0.928 0.357
0.388 0.871 0.871
0.871 0.388 0.871
0.871 0.871 0.388
0.871 0.871 0.871
0.928 0.357 0.357
```

---

2:
Computed, not measured: a relaxed structure of Nb4TlS8 at the GGA-PBE level of DFT.

Results
- Space-group type: R-3m, No. 166

Cell and atoms, written as POSCAR:
```
Nb4TlS8
1.0
3.388 1.956 8.176
-3.388 1.956 8.176
0.000 -3.912 8.176
Nb Tl S
4 1 8
direct
0.000 0.000 0.000
0.000 0.500 0.500
0.500 0.000 0.500
0.500 0.500 0.000
0.500 0.500 0.500
0.230 0.230 0.731
0.230 0.731 0.230
0.269 0.770 0.770
0.270 0.270 0.270
0.730 0.730 0.730
0.731 0.230 0.230
0.770 0.269 0.770
0.770 0.770 0.269
```

---

Which of them is the most stable, and which is the least stable? 2 and 1, in that order.